*P*
! BaLaI5 (SCAN, PBEsol geometry); values from VASP
! * density of states at the Fermi level: 0.00 states/eV/cell
! * crystal system: monoclinic
&SYSTEM
  ibrav = 0, nat = 28, ntyp = 3
/
ATOMIC_SPECIES
Ba 137.33 Ba.upf
La 138.91 La.upf
I 126.90 I.upf
CELL_PARAMETERS angstrom
7.832 0.000 0.000
0.000 13.617 0.000
-0.196 0.000 11.093
ATOMIC_POSITIONS crystal
Ba 0.013 0.000 0.217
Ba 0.441 0.812 0.671
Ba 0.559 0.312 0.329
Ba 0.987 0.500 0.783
La 0.061 0.573 0.372
La 0.464 0.173 0.886
La 0.536 0.673 0.114
La 0.939 0.073 0.628
I 0.034 0.715 0.596
I 0.082 0.253 0.792
I 0.201 0.984 0.834
I 0.244 0.983 0.478
I 0.246 0.681 0.911
I 0.264 0.194 0.130
I 0.269 0.433 0.541
I 0.295 0.483 0.165
I 0.426 0.691 0.389
I 0.441 0.895 0.133
I 0.559 0.395 0.867
I 0.574 0.191 0.611
I 0.705 0.983 0.835
I 0.731 0.933 0.459
I 0.736 0.694 0.870
I 0.754 0.181 0.089
I 0.756 0.483 0.522
I 0.799 0.484 0.166
I 0.918 0.753 0.208
I 0.966 0.215 0.404



*Q*
! BaLaI5 (SCAN, PBEsol geometry); values from VASP
! * density of states at the Fermi level: 0.00 states/eV/cell
! * crystal system: monoclinic
&SYSTEM
  ibrav = 0, nat = 14, ntyp = 3
/
ATOMIC_SPECIES
Ba 137.33 Ba.upf
La 138.91 La.upf
I 126.90 I.upf
CELL_PARAMETERS angstrom
8.619 0.000 0.000
0.000 4.763 0.000
-0.113 0.000 14.803
ATOMIC_POSITIONS crystal
Ba 0.059 0.250 0.345
Ba 0.941 0.750 0.655
La 0.425 0.750 0.150
La 0.575 0.250 0.850
I 0.058 0.750 0.166
I 0.176 0.250 0.569
I 0.312 0.250 0.014
I 0.349 0.750 0.792
I 0.366 0.750 0.359
I 0.634 0.250 0.641
I 0.651 0.250 0.208
I 0.688 0.750 0.986
I 0.824 0.750 0.431
I 0.942 0.250 0.834



*R*
! BaLaI5 (SCAN, PBEsol geometry); values from VASP
! * density of states at the Fermi level: 0.00 states/eV/cell
! * crystal system: triclinic
&SYSTEM
  ibrav = 0, nat = 14, ntyp = 3
/
ATOMIC_SPECIES
Ba 137.33 Ba.upf
La 138.91 La.upf
I 126.90 I.upf
CELL_PARAMETERS angstrom
6.319 0.000 0.000
0.507 7.837 0.000
3.154 0.007 10.946
ATOMIC_POSITIONS crystal
Ba 0.000 0.000 0.000
Ba 0.345 0.499 0.307
La 0.622 0.535 0.812
La 0.781 0.035 0.495
I 0.058 0.550 0.917
I 0.321 0.051 0.390
I 0.423 0.892 0.726
I 0.485 0.778 0.052
I 0.488 0.261 0.030
I 0.495 0.392 0.581
I 0.865 0.763 0.276
I 0.882 0.279 0.255
I 0.926 0.187 0.721
I 0.993 0.687 0.586



Which of them is the most stable, and which is the least stable? *R* and *P*, in that order.



*P*
! BaLiI2 (SCAN, PBEsol geometry); values from VASP
! * density of states at the Fermi level: 4.06 states/eV/cell
! * crystal system: tetragonal
&SYSTEM
  ibrav = 0, nat = 8, ntyp = 3
/
ATOMIC_SPECIES
Ba 137.33 Ba.upf
Li 6.94 Li.upf
I 126.90 I.upf
CELL_PARAMETERS angstrom
-4.137 4.137 3.918
4.137 -4.137 3.918
4.137 4.137 -3.918
ATOMIC_POSITIONS crystal
Ba 0.000 0.000 0.000
Ba 0.750 0.250 0.500
Li 0.250 0.750 0.500
Li 0.500 0.500 0.000
I 0.199 0.625 0.074
I 0.375 0.449 0.574
I 0.551 0.125 0.926
I 0.875 0.801 0.426



*Q*
! BaLiI2 (SCAN, PBEsol geometry); values from VASP
! * density of states at the Fermi level: 1.48 states/eV/cell
! * crystal system: cubic
&SYSTEM
  ibrav = 0, nat = 4, ntyp = 3
/
ATOMIC_SPECIES
Ba 137.33 Ba.upf
Li 6.94 Li.upf
I 126.90 I.upf
CELL_PARAMETERS angstrom
0.000 4.103 4.103
4.103 0.000 4.103
4.103 4.103 0.000
ATOMIC_POSITIONS crystal
Ba 0.000 0.000 0.000
Li 0.500 0.500 0.500
I 0.250 0.250 0.250
I 0.750 0.750 0.750



Which of them is the most stable, and which is the least stable? *P* and *Q*, in that order.



*P*
! RbBaIO2 (SCAN, PBEsol geometry); values from VASP
! * crystal system: tetragonal
&SYSTEM
  ibrav = 0, nat = 5, ntyp = 4
/
ATOMIC_SPECIES
Rb 85.47 Rb.upf
Ba 137.33 Ba.upf
I 126.90 I.upf
O 16.00 O.upf
CELL_PARAMETERS angstrom
4.959 0.000 0.000
0.000 4.959 0.000
0.000 0.000 6.273
ATOMIC_POSITIONS crystal
Rb 0.000 0.000 0.000
Ba 0.500 0.500 0.500
I 0.000 0.000 0.500
O 0.000 0.500 0.000
O 0.500 0.000 0.000



*Q*
! RbBaIO2 (SCAN, PBEsol geometry); values from VASP
! * density of states at the Fermi level: 1.97 states/eV/cell
! * crystal system: tetragonal
&SYSTEM
  ibrav = 0, nat = 5, ntyp = 4
/
ATOMIC_SPECIES
Rb 85.47 Rb.upf
Ba 137.33 Ba.upf
I 126.90 I.upf
O 16.00 O.upf
CELL_PARAMETERS angstrom
5.002 0.000 0.000
0.000 5.002 0.000
0.000 0.000 7.016
ATOMIC_POSITIONS crystal
Rb 0.000 0.000 0.000
Ba 0.500 0.500 0.500
I 0.500 0.500 0.000
O 0.000 0.500 0.500
O 0.500 0.000 0.500



Which of them is the most stable, and which is the least stable? *Q* and *P*, in that order.



*P*
! BaSbTe2I (SCAN, PBEsol geometry); values from VASP
! * density of states at the Fermi level: 4.07 states/eV/cell
! * crystal system: tetragonal
&SYSTEM
  ibrav = 0, nat = 5, ntyp = 4
/
ATOMIC_SPECIES
Ba 137.33 Ba.upf
Sb 121.76 Sb.upf
Te 127.60 Te.upf
I 126.90 I.upf
CELL_PARAMETERS angstrom
6.533 0.000 0.000
0.000 6.533 0.000
0.000 0.000 6.316
ATOMIC_POSITIONS crystal
Ba 0.000 0.000 0.000
Sb 0.500 0.500 0.500
Te 0.000 0.500 0.000
Te 0.500 0.000 0.000
I 0.000 0.000 0.500



*Q*
! BaSbTe2I (SCAN, PBEsol geometry); values from VASP
! * density of states at the Fermi level: 2.09 states/eV/cell
! * crystal system: tetragonal
&SYSTEM
  ibrav = 0, nat = 5, ntyp = 4
/
ATOMIC_SPECIES
Ba 137.33 Ba.upf
Sb 121.76 Sb.upf
Te 127.60 Te.upf
I 126.90 I.upf
CELL_PARAMETERS angstrom
5.795 0.000 0.000
0.000 5.795 0.000
0.000 0.000 5.800
ATOMIC_POSITIONS crystal
Ba 0.000 0.000 0.000
Sb 0.500 0.500 0.500
Te 0.000 0.500 0.500
Te 0.500 0.000 0.500
I 0.500 0.500 0.000



Which of them is the most stable, and which is the least stable? *Q* and *P*, in that order.